The following is a GGA-PBEsol calculation of a relaxed KCrP crystal, from Alexandria.

Results
Crystal system: cubic
Space-group type: No. 216
VASP energy (eV per atom): -5.0897
Energy relative to the elements (eV per atom): 0.6325

Structure (extended XYZ):
```
12
Lattice="6.405 0.000 0.000 0.000 6.405 0.000 0.000 0.000 6.405" Properties=species:S:1:pos:R:3 pbc="T T T"
K 0.000 0.000 0.000
K 0.000 3.203 3.203
K 3.203 0.000 3.203
K 3.203 3.203 0.000
Cr 1.601 1.601 1.601
Cr 1.601 4.804 4.804
Cr 4.804 1.601 4.804
Cr 4.804 4.804 1.601
P 0.000 0.000 3.203
P 0.000 3.203 0.000
P 3.203 0.000 0.000
P 3.203 3.203 3.203
```

=====

The following is a GGA-PBEsol calculation of a relaxed KCrP2 crystal, from Alexandria.

Results
Crystal system: tetragonal
Space-group type: No. 123
VASP energy (eV per atom): -5.1218
Offset from the most stable computed form (meV/atom): 798
Energy relative to the elements (eV per atom): 0.6178

Structure (extended XYZ):
```
4
Lattice="4.223 0.000 0.000 0.000 4.223 0.000 0.000 0.000 4.066" Properties=species:S:1:pos:R:3 pbc="T T T"
K 0.000 0.000 0.000
Cr 2.111 2.111 0.000
P 0.000 2.111 2.033
P 2.111 0.000 2.033
```

=====

The following is a GGA-PBEsol calculation of a relaxed KCrP2 crystal, from Alexandria.

Results
Crystal system: tetragonal
Space-group type: No. 139
VASP energy (eV per atom): -5.2356
Offset from the most stable computed form (meV/atom): 684
Energy relative to the elements (eV per atom): 0.5039

Structure (extended XYZ):
```
8
Lattice="4.460 0.000 0.000 0.000 4.460 0.000 0.000 0.000 6.987" Properties=species:S:1:pos:R:3 pbc="T T T"
K 0.000 0.000 0.000
K 2.230 2.230 3.494
Cr 0.000 0.000 3.494
Cr 2.230 2.230 0.000
P 0.000 2.230 1.747
P 0.000 2.230 5.240
P 2.230 0.000 1.747
P 2.230 0.000 5.240
```

=====

The following is a GGA-PBEsol calculation of a relaxed K2CrP2 crystal, from Alexandria.

Results
Crystal system: tetragonal
Space-group type: No. 139
VASP energy (eV per atom): -4.3246
Energy relative to the elements (eV per atom): 0.4937

Structure (extended XYZ):
```
10
Lattice="4.014 0.000 0.000 0.000 4.014 0.000 0.000 0.000 13.353" Properties=species:S:1:pos:R:3 pbc="T T T"
K 0.000 2.007 3.338
K 0.000 2.007 10.015
K 2.007 0.000 3.338
K 2.007 0.000 10.015
Cr 0.000 0.000 0.000
Cr 2.007 2.007 6.677
P 0.000 0.000 5.629
P 0.000 0.000 7.724
P 2.007 2.007 1.047
P 2.007 2.007 12.306
```

=====

The following is a GGA-PBEsol calculation of a relaxed KCrP crystal, from Alexandria.

Results
Crystal system: cubic
Space-group type: No. 216
VASP energy (eV per atom): -5.1183
Energy relative to the elements (eV per atom): 0.6039

Structure (extended XYZ):
```
12
Lattice="6.584 0.000 0.000 0.000 6.584 0.000 0.000 0.000 6.584" Properties=species:S:1:pos:R:3 pbc="T T T"
K 0.000 0.000 0.000
K 0.000 3.292 3.292
K 3.292 0.000 3.292
K 3.292 3.292 0.000
Cr 0.000 0.000 3.292
Cr 0.000 3.292 0.000
Cr 3.292 0.000 0.000
Cr 3.292 3.292 3.292
P 1.646 1.646 4.938
P 1.646 4.938 1.646
P 4.938 1.646 1.646
P 4.938 4.938 4.938
```

=====

The following is a GGA-PBEsol calculation of a relaxed KCrP2 crystal, from Alexandria.

Results
Crystal system: monoclinic
Space-group type: No. 8
VASP energy (eV per atom): -5.9199
Offset from the most stable computed form (meV/atom): 0
Energy relative to the elements (eV per atom): -0.1804

Structure (extended XYZ):
```
8
Lattice="7.461 0.000 0.000 0.000 3.100 0.000 -3.034 0.000 6.607" Properties=species:S:1:pos:R:3 pbc="T T T"
K 0.000 0.000 0.000
K 3.731 1.550 0.000
Cr 0.632 1.550 3.213
Cr 4.363 0.000 3.213
P -0.889 0.000 4.145
P 2.161 0.000 2.369
P 2.842 1.550 4.145
P 5.892 1.550 2.369
```

=====

The following is a GGA-PBEsol calculation of a relaxed K2CrPRu crystal, from Alexandria.

Results
Crystal system: tetragonal
Space-group type: No. 123
VASP energy (eV per atom): -4.3714
Energy relative to the elements (eV per atom): 1.3231

Structure (extended XYZ):
```
5
Lattice="6.144 0.000 0.000 0.000 6.144 0.000 0.000 0.000 4.433" Properties=species:S:1:pos:R:3 pbc="T T T"
K 0.000 3.072 0.000
K 3.072 0.000 0.000
Cr 0.000 0.000 2.216
P 0.000 0.000 0.000
Ru 3.072 3.072 2.216
```

=====

The following is a GGA-PBEsol calculation of a relaxed K3Cr2P3S12 crystal, from Alexandria.

Results
Energy relative to the elements, uncorrected (eV per atom): -0.709
Crystal system: monoclinic
Space-group type: No. 14
VASP energy (eV per atom): -5.4023

Structure (extended XYZ):
```
80
Lattice="9.686 0.000 0.000 0.000 12.188 0.000 -7.740 0.000 17.574" Properties=species:S:1:pos:R:3 pbc="T T T"
K 0.955 0.983 2.140
K -2.915 5.111 10.927
K -1.363 0.770 7.986
K -5.233 5.324 16.773
K -3.247 1.581 13.990
K 0.623 4.513 5.203
K 1.323 7.675 12.371
K 5.193 10.607 3.584
K 7.179 6.864 0.801
K 3.309 11.418 9.588
K 4.862 7.077 6.647
K 0.992 11.204 15.434
Cr 0.942 8.899 3.685
Cr -2.928 9.383 12.472
Cr -0.386 8.746 6.972
Cr -4.256 9.536 15.759
Cr 6.202 2.652 1.815
Cr 2.332 3.442 10.602
Cr 4.875 2.805 5.102
Cr 1.005 3.289 13.889
P -1.784 7.632 4.428
P -5.654 10.650 13.215
P -1.777 9.008 9.683
P 2.092 9.274 0.897
P -0.440 2.173 11.358
P 3.429 3.921 2.571
P -1.483 8.267 15.003
P 2.387 10.015 6.216
P -0.146 2.914 16.677
P 3.724 3.180 7.890
P 7.600 1.538 4.359
P 3.730 4.556 13.146
S -4.934 8.696 13.600
S -1.065 9.586 4.813
S -0.315 6.933 3.178
S -4.185 11.349 11.965
S -3.483 8.203 10.485
S 0.387 10.079 1.698
S -1.580 6.797 6.300
S -5.450 11.485 15.087
S -6.110 8.409 16.676
S -2.240 9.872 7.889
S -0.248 1.449 5.097
S -4.118 4.645 13.884
S -2.313 2.057 10.722
S 1.557 4.037 1.935
S -0.316 7.678 9.134
S 3.554 10.604 0.347
S 2.710 8.001 2.367
S -1.160 10.280 11.154
S -1.773 7.437 13.154
S 2.097 10.845 4.367
S 1.670 8.052 5.844
S -2.200 10.230 14.631
S -2.907 7.671 16.348
S 0.963 10.611 7.561
S 0.983 1.577 10.013
S 4.853 4.517 1.226
S 4.146 1.958 2.943
S 0.276 4.136 11.730
S -0.150 1.343 13.207
S 3.719 4.751 4.420
S 3.106 1.907 6.420
S -0.764 4.186 15.207
S -1.608 1.584 17.227
S 2.262 4.510 8.440
S 0.390 8.151 15.639
S 4.259 10.131 6.852
S 6.065 7.543 3.690
S 2.195 10.739 12.477
S 4.186 2.315 9.685
S 8.056 3.779 0.898
S 7.396 0.703 2.487
S 3.526 5.391 11.274
S 1.559 2.109 15.876
S 5.429 3.985 7.089
S 6.131 0.839 5.609
S 2.261 5.255 14.396
S 3.011 2.602 12.761
S 6.881 3.492 3.974
```

=====

The following is a GGA-PBEsol calculation of a relaxed KCrPS2 crystal, from Alexandria.

Results
Energy relative to the elements, uncorrected (eV per atom): -0.221
Crystal system: tetragonal
Space-group type: No. 123
VASP energy (eV per atom): -5.4084

Structure (extended XYZ):
```
5
Lattice="4.652 0.000 0.000 0.000 4.652 0.000 0.000 0.000 4.430" Properties=species:S:1:pos:R:3 pbc="T T T"
K 0.000 0.000 0.000
Cr 2.326 2.326 2.215
P 2.326 2.326 0.000
S 0.000 2.326 2.215
S 2.326 0.000 2.215
```

=====

The following is a GGA-PBEsol calculation of a relaxed KCrP2S7 crystal, from Alexandria.

Results
Energy relative to the elements, uncorrected (eV per atom): -0.553
Crystal system: monoclinic
Space-group type: No. 5
VASP energy (eV per atom): -5.4296

Structure (extended XYZ):
```
11
Lattice="4.251 -4.765 0.000 4.251 4.765 0.000 -0.842 0.000 6.222" Properties=species:S:1:pos:R:3 pbc="T T T"
K 0.000 0.000 0.000
Cr 3.830 0.941 3.111
P 2.165 -2.353 2.628
P 5.495 -2.353 3.595
S 2.468 2.564 1.990
S 2.250 1.192 4.866
S 5.192 2.564 4.232
S 2.766 -0.665 1.698
S 5.410 1.192 1.356
S 4.894 -0.665 4.524
S 3.830 -3.613 3.111
```

=====

The following is a GGA-PBEsol calculation of a relaxed K2CrPb crystal, from Alexandria.

Results
Crystal system: tetragonal
Space-group type: No. 99
VASP energy (eV per atom): -3.6934
Energy relative to the elements (eV per atom): 0.4334

Structure (extended XYZ):
```
4
Lattice="3.840 0.000 0.000 0.000 3.840 0.000 0.000 0.000 10.061" Properties=species:S:1:pos:R:3 pbc="T T T"
K 0.000 0.000 0.000
K 1.920 1.920 3.996
Cr 1.920 1.920 7.467
Pb 0.000 0.000 6.482
```

=====

The following is a GGA-PBEsol calculation of a relaxed K2CrPb crystal, from Alexandria.

Results
Crystal system: tetragonal
Space-group type: No. 123
VASP energy (eV per atom): -3.4160
Energy relative to the elements (eV per atom): 0.7108

Structure (extended XYZ):
```
4
Lattice="3.423 0.000 0.000 0.000 3.423 0.000 0.000 0.000 11.161" Properties=species:S:1:pos:R:3 pbc="T T T"
K 0.000 0.000 2.769
K 0.000 0.000 8.392
Cr 1.712 1.712 0.000
Pb 1.712 1.712 5.580
```

=====

The following is a GGA-PBEsol calculation of a relaxed K2CrPd crystal, from Alexandria.

Results
Crystal system: cubic
Space-group type: No. 225
VASP energy (eV per atom): -3.6462
Energy relative to the elements (eV per atom): 0.9706

Structure (extended XYZ):
```
16
Lattice="7.698 0.000 0.000 0.000 7.698 0.000 0.000 0.000 7.698" Properties=species:S:1:pos:R:3 pbc="T T T"
K 1.924 1.924 1.924
K 1.924 1.924 5.773
K 1.924 5.773 1.924
K 1.924 5.773 5.773
K 5.773 1.924 1.924
K 5.773 1.924 5.773
K 5.773 5.773 1.924
K 5.773 5.773 5.773
Cr 0.000 0.000 0.000
Cr 0.000 3.849 3.849
Cr 3.849 0.000 3.849
Cr 3.849 3.849 0.000
Pd 0.000 0.000 3.849
Pd 0.000 3.849 0.000
Pd 3.849 0.000 0.000
Pd 3.849 3.849 3.849
```

=====

The following is a GGA-PBEsol calculation of a relaxed KCr2Pd2 crystal, from Alexandria.

Results
Crystal system: tetragonal
Space-group type: No. 139
VASP energy (eV per atom): -6.0002
Energy relative to the elements (eV per atom): 0.7067

Structure (extended XYZ):
```
10
Lattice="4.486 0.000 0.000 0.000 4.486 0.000 0.000 0.000 8.802" Properties=species:S:1:pos:R:3 pbc="T T T"
K 0.000 0.000 0.000
K 2.243 2.243 4.401
Cr 0.000 0.000 3.499
Cr 0.000 0.000 5.304
Cr 2.243 2.243 0.903
Cr 2.243 2.243 7.900
Pd 0.000 2.243 2.201
Pd 0.000 2.243 6.602
Pd 2.243 0.000 2.201
Pd 2.243 0.000 6.602
```

=====

The following is a GGA-PBEsol calculation of a relaxed KCrPt4 crystal, from Alexandria.

Results
Crystal system: cubic
Space-group type: No. 216
VASP energy (eV per atom): -6.3881
Energy relative to the elements (eV per atom): 0.1502

Structure (extended XYZ):
```
6
Lattice="0.000 3.752 3.752 3.752 0.000 3.752 3.752 3.752 0.000" Properties=species:S:1:pos:R:3 pbc="T T T"
K 0.000 0.000 0.000
Cr 5.629 5.629 5.629
Pt 2.817 2.817 2.817
Pt 4.688 4.688 2.817
Pt 4.688 2.817 4.688
Pt 2.817 4.688 4.688
```

=====

The following is a GGA-PBEsol calculation of a relaxed KCrPt2 crystal, from Alexandria.

Results
Crystal system: tetragonal
Space-group type: No. 123
VASP energy (eV per atom): -6.2510
Energy relative to the elements (eV per atom): 0.0746

Structure (extended XYZ):
```
4
Lattice="2.918 0.000 0.000 0.000 2.918 0.000 0.000 0.000 8.376" Properties=species:S:1:pos:R:3 pbc="T T T"
K 0.000 0.000 0.000
Cr 0.000 0.000 4.188
Pt 1.459 1.459 2.623
Pt 1.459 1.459 5.753
```

=====

The following is a GGA-PBEsol calculation of a relaxed KCr2Pt crystal, from Alexandria.

Results
Crystal system: tetragonal
Space-group type: No. 99
VASP energy (eV per atom): -6.6372
Offset from the most stable computed form (meV/atom): 0
Energy relative to the elements (eV per atom): 0.5080

Structure (extended XYZ):
```
4
Lattice="2.932 0.000 0.000 0.000 2.932 0.000 0.000 0.000 8.280" Properties=species:S:1:pos:R:3 pbc="T T T"
K 0.000 0.000 0.000
Cr 0.000 0.000 4.162
Cr 1.466 1.466 5.361
Pt 1.466 1.466 2.511
```

=====

The following is a GGA-PBEsol calculation of a relaxed KCr2Pt crystal, from Alexandria.

Results
Crystal system: tetragonal
Space-group type: No. 123
VASP energy (eV per atom): -6.3796
Offset from the most stable computed form (meV/atom): 258
Energy relative to the elements (eV per atom): 0.7656

Structure (extended XYZ):
```
4
Lattice="3.152 0.000 0.000 0.000 3.152 0.000 0.000 0.000 8.519" Properties=species:S:1:pos:R:3 pbc="T T T"
K 0.000 0.000 0.000
Cr 1.576 1.576 2.839
Cr 1.576 1.576 5.680
Pt 0.000 0.000 4.259
```

=====

The following is a GGA-PBEsol calculation of a relaxed KCrPt2 crystal, from Alexandria.

Results
Crystal system: tetragonal
Space-group type: No. 123
VASP energy (eV per atom): -5.7722
Energy relative to the elements (eV per atom): 0.5534

Structure (extended XYZ):
```
4
Lattice="5.038 0.000 0.000 0.000 5.038 0.000 0.000 0.000 2.766" Properties=species:S:1:pos:R:3 pbc="T T T"
K 0.000 0.000 0.000
Cr 2.519 2.519 0.000
Pt 0.000 2.519 1.383
Pt 2.519 0.000 1.383
```

=====

The following is a GGA-PBEsol calculation of a relaxed KCr2Pt crystal, from Alexandria.

Results
Crystal system: monoclinic
Space-group type: No. 8
VASP energy (eV per atom): -6.5142
Offset from the most stable computed form (meV/atom): 123
Energy relative to the elements (eV per atom): 0.6310

Structure (extended XYZ):
```
8
Lattice="8.835 0.000 0.000 0.000 2.822 0.000 -1.127 0.000 6.842" Properties=species:S:1:pos:R:3 pbc="T T T"
K 0.000 0.000 0.000
K 4.418 1.411 0.000
Cr 2.247 1.411 2.763
Cr 3.849 0.000 3.402
Cr 6.664 0.000 2.763
Cr 8.266 1.411 3.402
Pt 1.233 0.000 4.592
Pt 5.651 1.411 4.592
```

=====

The following is a GGA-PBEsol calculation of a relaxed KRb3Cr crystal, from Alexandria.

Results
Crystal system: cubic
Space-group type: No. 221
VASP energy (eV per atom): -2.2309
Energy relative to the elements (eV per atom): 0.6593

Structure (extended XYZ):
```
5
Lattice="7.122 0.000 0.000 0.000 7.122 0.000 0.000 0.000 7.122" Properties=species:S:1:pos:R:3 pbc="T T T"
K 0.000 0.000 0.000
Rb 0.000 3.561 3.561
Rb 3.561 0.000 3.561
Rb 3.561 3.561 0.000
Cr 3.561 3.561 3.561
```

=====

The following is a GGA-PBEsol calculation of a relaxed KRbCrSb2 crystal, from Alexandria.

Results
Energy relative to the elements, uncorrected (eV per atom): 1.309
Crystal system: tetragonal
Space-group type: No. 123
VASP energy (eV per atom): -2.9943

Structure (extended XYZ):
```
5
Lattice="6.039 0.000 0.000 0.000 6.039 0.000 0.000 0.000 5.611" Properties=species:S:1:pos:R:3 pbc="T T T"
K 0.000 0.000 0.000
Rb 0.000 0.000 2.806
Cr 3.020 3.020 0.000
Sb 0.000 3.020 2.806
Sb 3.020 0.000 2.806
```

=====

The following is a GGA-PBEsol calculation of a relaxed KCrRe2 crystal, from Alexandria.

Results
Crystal system: monoclinic
Space-group type: No. 10
VASP energy (eV per atom): -8.5246
Offset from the most stable computed form (meV/atom): 175
Energy relative to the elements (eV per atom): 0.9852

Structure (extended XYZ):
```
4
Lattice="2.627 0.000 0.000 0.000 3.700 0.000 -0.431 0.000 8.144" Properties=species:S:1:pos:R:3 pbc="T T T"
K 0.000 0.000 0.000
Cr 1.098 0.000 4.072
Re -0.215 1.850 5.286
Re 2.411 1.850 2.858
```

=====

The following is a GGA-PBEsol calculation of a relaxed KCrRe2 crystal, from Alexandria.

Results
Crystal system: tetragonal
Space-group type: No. 123
VASP energy (eV per atom): -8.5891
Offset from the most stable computed form (meV/atom): 111
Energy relative to the elements (eV per atom): 0.9208

Structure (extended XYZ):
```
4
Lattice="2.674 0.000 0.000 0.000 2.674 0.000 0.000 0.000 9.526" Properties=species:S:1:pos:R:3 pbc="T T T"
K 0.000 0.000 0.000
Cr 0.000 0.000 4.763
Re 1.337 1.337 2.999
Re 1.337 1.337 6.527
```

=====

The following is a GGA-PBEsol calculation of a relaxed KCrRe2 crystal, from Alexandria.

Results
Crystal system: trigonal
Space-group type: No. 166
VASP energy (eV per atom): -8.7001
Offset from the most stable computed form (meV/atom): 0
Energy relative to the elements (eV per atom): 0.8098

Structure (extended XYZ):
```
12
Lattice="2.743 0.000 0.000 -1.371 2.375 0.000 0.000 0.000 30.123" Properties=species:S:1:pos:R:3 pbc="T T T"
K 0.000 0.000 0.000
K 0.000 1.584 20.082
K 1.371 0.792 10.041
Cr 0.000 0.000 15.061
Cr 0.000 1.584 5.020
Cr 1.371 0.792 25.102
Re 0.000 0.000 7.033
Re 0.000 0.000 23.090
Re 0.000 1.584 13.049
Re 0.000 1.584 27.114
Re 1.371 0.792 3.008
Re 1.371 0.792 17.074
```